No. 1
Material: SbIrCl2
Method: DFT, PBE
State: optimized geometry

The value obtained for the relative energy among the computed polymorphs is 1251 meV per atom. As for the calculated volume: 19.3 Å³ per atom. The total energy is -3.334 eV per atom. The uncorrected formation energy comes out at 3.34 eV per formula unit.

The structure belongs to space group Fm-3m (No. 225); the cell edges are 6.754, 6.754 and 6.754 Å and the angles 90.00°, 90.00° and 90.00°. Symmetry generates all atoms from Sb at (0.000, 0.000, 0.000), Ir at (0.000, 0.000, 0.500) and Cl at (0.250, 0.250, 0.250).

---

No. 2
Material: Sb2IrCl
Method: DFT, PBE
State: optimized geometry

The value obtained for the relative energy among the computed polymorphs is 590 meV per atom. As for the calculated volume: 22.8 Å³ per atom. The total energy is -4.474 eV per atom. The uncorrected formation energy comes out at 1.06 eV per formula unit.

The structure belongs to space group P4mm (No. 99); the cell edges are 3.196, 3.196 and 8.931 Å and the angles 90.00°, 90.00° and 90.00°. Symmetry generates all atoms from Sb at (0.000, 0.000, 0.000), Sb at (0.500, 0.500, 0.310), Ir at (0.500, 0.500, 0.832) and Cl at (0.000, 0.000, 0.627).

---

No. 3
Material: SbIrCl2
Method: DFT, PBE
State: optimized geometry

The value obtained for the relative energy among the computed polymorphs is 189 meV per atom. As for the calculated volume: 25.9 Å³ per atom. The total energy is -4.396 eV per atom. The uncorrected formation energy comes out at -0.91 eV per formula unit.

The structure belongs to space group R3m (No. 160, hexagonal axes); the cell edges are 3.8325, 3.8325 and 24.4721 Å and the angles 90.00°, 90.00° and 120.00°. Symmetry generates all atoms from Sb at (0.0000, 0.0000, 0.0000), Ir at (0.0000, 0.0000, 0.7167), Cl at (0.0000, 0.0000, 0.2527) and Cl at (0.0000, 0.0000, 0.4426).

---

No. 4
Material: SbIr3Cl
Method: DFT, PBE
State: optimized geometry

The value obtained for the relative energy among the computed polymorphs is 450 meV per atom. As for the calculated volume: 24.3 Å³ per atom. The total energy is -4.619 eV per atom. The uncorrected formation energy comes out at 9.46 eV per formula unit.

The structure belongs to space group Pm-3m (No. 221); the cell edges are 4.952, 4.952 and 4.952 Å and the angles 90.00°, 90.00° and 90.00°. Symmetry generates all atoms from Sb at (0.000, 0.000, 0.000), Ir at (0.000, 0.000, 0.500) and Cl at (0.500, 0.500, 0.500).

---

No. 5
Material: SbIrCl2
Method: DFT, PBE
State: optimized geometry

The value obtained for the relative energy among the computed polymorphs is 811 meV per atom. As for the calculated volume: 18.8 Å³ per atom. The total energy is -3.773 eV per atom. The uncorrected formation energy comes out at 1.58 eV per formula unit.

The structure belongs to space group F-43m (No. 216); the cell edges are 6.695, 6.695 and 6.695 Å and the angles 90.00°, 90.00° and 90.00°. Symmetry generates all atoms from Sb at (0.000, 0.000, 0.000), Ir at (0.250, 0.250, 0.750), Cl at (0.000, 0.000, 0.500) and Cl at (0.250, 0.250, 0.250).

---

No. 6
Material: Sb2IrCl
Method: DFT, PBE
State: optimized geometry

The value obtained for the relative energy among the computed polymorphs is 386 meV per atom. As for the calculated volume: 24.1 Å³ per atom. The total energy is -4.678 eV per atom. The uncorrected formation energy comes out at 0.24 eV per formula unit.

The structure belongs to space group Amm2 (No. 38); the cell edges are 5.193, 5.141 and 7.208 Å and the angles 90.00°, 90.00° and 90.00°. Symmetry generates all atoms from Sb at (0.000, 0.000, 0.000), Sb at (0.500, 0.000, 0.287), Ir at (0.500, 0.000, 0.915) and Cl at (0.000, 0.000, 0.560).

---

No. 7
Material: Sb2IrCl
Method: DFT, PBE
State: optimized geometry

The value obtained for the relative energy among the computed polymorphs is 450 meV per atom. As for the calculated volume: 25.2 Å³ per atom. The total energy is -4.614 eV per atom. The uncorrected formation energy comes out at 0.49 eV per formula unit.

The structure belongs to space group R3m (No. 160, hexagonal axes); the cell edges are 3.6341, 3.6341 and 26.4256 Å and the angles 90.00°, 90.00° and 120.00°. Symmetry generates all atoms from Sb at (0.0000, 0.0000, 0.0000), Sb at (0.0000, 0.0000, 0.2368), Ir at (0.0000, 0.0000, 0.7216) and Cl at (0.0000, 0.0000, 0.4474).

---

No. 8
Material: SbIrCl2
Method: DFT, PBE
State: optimized geometry

The value obtained for the relative energy among the computed polymorphs is 1213 meV per atom. As for the calculated volume: 20.2 Å³ per atom. The total energy is -3.371 eV per atom. The uncorrected formation energy comes out at 3.19 eV per formula unit.

The structure belongs to space group I4/mmm (No. 139); the cell edges are 4.268, 4.268 and 8.892 Å and the angles 90.00°, 90.00° and 90.00°. Symmetry generates all atoms from Sb at (0.000, 0.000, 0.000), Ir at (0.000, 0.000, 0.500) and Cl at (0.000, 0.500, 0.250).

---

No. 9
Material: Sb2IrCl
Method: DFT, PBE
State: optimized geometry

The value obtained for the relative energy among the computed polymorphs is 621 meV per atom. As for the calculated volume: 24.4 Å³ per atom. The total energy is -4.443 eV per atom. The uncorrected formation energy comes out at 1.18 eV per formula unit.

The structure belongs to space group Immm (No. 71); the cell edges are 3.776, 6.352 and 8.151 Å and the angles 90.00°, 90.00° and 90.00°. Symmetry generates all atoms from Sb at (0.000, 0.000, 0.222), Ir at (0.000, 0.500, 0.500) and Cl at (0.000, 0.500, 0.000).

---

No. 10
Material: Sb2IrCl
Method: DFT, PBE
State: optimized geometry

The value obtained for the relative energy among the computed polymorphs is 0 meV per atom. As for the calculated volume: 28.5 Å³ per atom. The total energy is -5.064 eV per atom. The uncorrected formation energy comes out at -1.30 eV per formula unit.

The structure belongs to space group C2/m (No. 12); the cell edges are 7.143, 4.126 and 8.076 Å and the angles 90.00°, 107.00° and 90.00°. Symmetry generates all atoms from Sb at (0.115, 0.000, 0.344), Ir at (0.000, 0.500, 0.500) and Cl at (0.000, 0.000, 0.000).

---

No. 11
Material: Sb3IrCl
Method: DFT, PBE
State: optimized geometry

The value obtained for the relative energy among the computed polymorphs is 976 meV per atom. As for the calculated volume: 26.3 Å³ per atom. The total energy is -3.242 eV per atom. The uncorrected formation energy comes out at 6.86 eV per formula unit.

The structure belongs to space group Pm-3m (No. 221); the cell edges are 5.088, 5.088 and 5.088 Å and the angles 90.00°, 90.00° and 90.00°. Symmetry generates all atoms from Sb at (0.000, 0.000, 0.500), Ir at (0.500, 0.500, 0.500) and Cl at (0.000, 0.000, 0.000).

---

No. 12
Material: SbIr2Cl
Method: DFT, PBE
State: optimized geometry

The value obtained for the relative energy among the computed polymorphs is 301 meV per atom. As for the calculated volume: 18.1 Å³ per atom. The total energy is -5.492 eV per atom. The uncorrected formation energy comes out at 1.72 eV per formula unit.

The structure belongs to space group C2/m (No. 12); the cell edges are 5.666, 3.166 and 8.509 Å and the angles 90.00°, 108.83° and 90.00°. Symmetry generates all atoms from Sb at (0.000, 0.000, 0.000), Ir at (0.053, 0.500, 0.768) and Cl at (0.000, 0.000, 0.500).

---

No. 13
Material: SbIrCl2
Method: DFT, PBE
State: optimized geometry

The value obtained for the relative energy among the computed polymorphs is 312 meV per atom. As for the calculated volume: 29.0 Å³ per atom. The total energy is -4.272 eV per atom. The uncorrected formation energy comes out at -0.41 eV per formula unit.

The structure belongs to space group P4mm (No. 99); the cell edges are 3.776, 3.776 and 8.141 Å and the angles 90.00°, 90.00° and 90.00°. Symmetry generates all atoms from Sb at (0.000, 0.000, 0.000), Ir at (0.500, 0.500, 0.048), Cl at (0.000, 0.000, 0.706) and Cl at (0.500, 0.500, 0.325).

---

No. 14
Material: SbIr2Cl
Method: DFT, PBE
State: optimized geometry

The value obtained for the relative energy among the computed polymorphs is 301 meV per atom. As for the calculated volume: 18.0 Å³ per atom. The total energy is -5.492 eV per atom. The uncorrected formation energy comes out at 1.72 eV per formula unit.

The structure belongs to space group R-3m (No. 166, hexagonal axes); the cell edges are 3.2114, 3.2114 and 24.1212 Å and the angles 90.00°, 90.00° and 120.00°. Symmetry generates all atoms from Sb at (0.0000, 0.0000, 0.0000), Ir at (0.0000, 0.0000, 0.2557) and Cl at (0.0000, 0.0000, 0.5000).

---

No. 15
Material: SbIrCl2
Method: DFT, PBE
State: optimized geometry

The value obtained for the relative energy among the computed polymorphs is 1213 meV per atom. As for the calculated volume: 20.0 Å³ per atom. The total energy is -3.372 eV per atom. The uncorrected formation energy comes out at 3.19 eV per formula unit.

The structure belongs to space group Cmmm (No. 65); the cell edges are 6.009, 8.798 and 3.029 Å and the angles 90.00°, 90.00° and 90.00°. Symmetry generates all atoms from Sb at (0.000, 0.000, 0.000), Ir at (0.000, 0.500, 0.000) and Cl at (0.250, 0.250, 0.500).